(1)
# Sr2VHg | Alexandria via LeMat-Bulk | GGA-PBE | optimized geometry
# * magnetization: 1.0656 μB/atom
# * V: 540.6 Å³/cell
# * formation energy from the elements: 2.0 eV per formula unit
# * total energy: -2.686 eV per atom
data_Sr2VHg
_chemical_formula_sum 'Sr8 V4 Hg4'
_cell_length_a 8.864
_cell_length_b 8.864
_cell_length_c 6.881
_cell_angle_alpha 90.00
_cell_angle_beta 90.00
_cell_angle_gamma 90.00
_space_group_name_H-M_alt 'I -4 2 d'
_space_group_IT_number 122
_space_group_name_Hall 'I -4 2bw'
loop_
_atom_site_label
_atom_site_type_symbol
_atom_site_fract_x
_atom_site_fract_y
_atom_site_fract_z
Sr1 Sr 0.242 0.750 0.125
V1 V 0.000 0.000 0.500
Hg1 Hg 0.000 0.000 0.000


(2)
# SrHg3W | Alexandria via LeMat-Bulk | GGA-PBE | optimized geometry
# * magnetization: 0.9512 μB/atom
# * polymorph energy (0 for the lowest one): 107.2 kJ per mole of atoms
# * V: 223.3 Å³/cell
# * formation energy from the elements: 7.8 eV per formula unit
# * total energy: -1.557 eV per atom
data_SrHg3W
_chemical_formula_sum 'Sr1 Hg3 W1'
_cell_length_a 6.066
_cell_length_b 6.066
_cell_length_c 6.066
_cell_angle_alpha 90.00
_cell_angle_beta 90.00
_cell_angle_gamma 90.00
_space_group_name_H-M_alt 'P m -3 m'
_space_group_IT_number 221
_space_group_name_Hall '-P 4 2 3'
loop_
_atom_site_label
_atom_site_type_symbol
_atom_site_fract_x
_atom_site_fract_y
_atom_site_fract_z
Sr1 Sr 0.000 0.000 0.000
Hg1 Hg 0.000 0.000 0.500
W1 W 0.500 0.500 0.500


(3)
# SrHg3W | Alexandria via LeMat-Bulk | GGA-PBE | optimized geometry
# * magnetization: 0.0000 μB/atom
# * polymorph energy (0 for the lowest one): 0.0 kJ per mole of atoms
# * V: 149.7 Å³/cell
# * formation energy from the elements: 2.2 eV per formula unit
# * total energy: -2.668 eV per atom
data_SrHg3W
_chemical_formula_sum 'Sr1 Hg3 W1'
_cell_length_a 5.309
_cell_length_b 5.309
_cell_length_c 5.309
_cell_angle_alpha 90.00
_cell_angle_beta 90.00
_cell_angle_gamma 90.00
_space_group_name_H-M_alt 'P m -3 m'
_space_group_IT_number 221
_space_group_name_Hall '-P 4 2 3'
loop_
_atom_site_label
_atom_site_type_symbol
_atom_site_fract_x
_atom_site_fract_y
_atom_site_fract_z
Sr1 Sr 0.000 0.000 0.000
Hg1 Hg 0.000 0.500 0.500
W1 W 0.500 0.500 0.500


(4)
# Sr4HgW | Alexandria via LeMat-Bulk | GGA-PBE | optimized geometry
# * magnetization: 0.6663 μB/atom
# * V: 913.4 Å³/cell
# * formation energy from the elements: 7.1 eV per formula unit
# * total energy: -2.145 eV per atom
data_Sr4HgW
_chemical_formula_sum 'Sr16 Hg4 W4'
_cell_length_a 9.702
_cell_length_b 9.702
_cell_length_c 9.702
_cell_angle_alpha 90.00
_cell_angle_beta 90.00
_cell_angle_gamma 90.00
_space_group_name_H-M_alt 'F -4 3 m'
_space_group_IT_number 216
_space_group_name_Hall 'F -4 2 3'
loop_
_atom_site_label
_atom_site_type_symbol
_atom_site_fract_x
_atom_site_fract_y
_atom_site_fract_z
Sr1 Sr 0.125 0.125 0.125
Hg1 Hg 0.000 0.000 0.500
W1 W 0.250 0.250 0.750


(5)
# Sr3HgW | Alexandria via LeMat-Bulk | GGA-PBE | optimized geometry
# * magnetization: 0.8793 μB/atom
# * polymorph energy (0 for the lowest one): 16.9 kJ per mole of atoms
# * V: 225.9 Å³/cell
# * formation energy from the elements: 5.2 eV per formula unit
# * total energy: -2.615 eV per atom
data_Sr3HgW
_chemical_formula_sum 'Sr3 Hg1 W1'
_cell_length_a 6.090
_cell_length_b 6.090
_cell_length_c 6.090
_cell_angle_alpha 90.00
_cell_angle_beta 90.00
_cell_angle_gamma 90.00
_space_group_name_H-M_alt 'P m -3 m'
_space_group_IT_number 221
_space_group_name_Hall '-P 4 2 3'
loop_
_atom_site_label
_atom_site_type_symbol
_atom_site_fract_x
_atom_site_fract_y
_atom_site_fract_z
Sr1 Sr 0.000 0.000 0.500
Hg1 Hg 0.000 0.000 0.000
W1 W 0.500 0.500 0.500


(6)
# Sr3HgW | Alexandria via LeMat-Bulk | GGA-PBE | optimized geometry
# * magnetization: 0.0000 μB/atom
# * polymorph energy (0 for the lowest one): 0.0 kJ per mole of atoms
# * V: 199.0 Å³/cell
# * formation energy from the elements: 4.3 eV per formula unit
# * total energy: -2.790 eV per atom
data_Sr3HgW
_chemical_formula_sum 'Sr3 Hg1 W1'
_cell_length_a 5.839
_cell_length_b 5.839
_cell_length_c 5.839
_cell_angle_alpha 90.00
_cell_angle_beta 90.00
_cell_angle_gamma 90.00
_space_group_name_H-M_alt 'P m -3 m'
_space_group_IT_number 221
_space_group_name_Hall '-P 4 2 3'
loop_
_atom_site_label
_atom_site_type_symbol
_atom_site_fract_x
_atom_site_fract_y
_atom_site_fract_z
Sr1 Sr 0.000 0.000 0.500
Hg1 Hg 0.500 0.500 0.500
W1 W 0.000 0.000 0.000